First-principles (PBE-GGA) data for an optimized crystal structure of YPHRu, as listed in the Alexandria database.

```
8
Lattice="-0.880 3.884 -0.279 -3.508 -0.666 1.786 3.063 1.158 6.448" Properties=species:S:1:pos:R:3 pbc="T T T"
Y 1.590 2.709 4.134
Y -0.721 0.057 3.067
Ru 0.000 0.000 0.000
Ru -2.194 1.609 0.753
P 0.787 0.627 6.241
P 0.083 2.140 0.960
H -0.662 2.188 3.977
H 1.532 0.579 3.224
```

Computed properties:
D(E_F) (states/eV/cell): 4.27
Size of the total moment (μB per atom): 0.000

First-principles (PBE-GGA) data for an optimized crystal structure of PH3S, as listed in the Alexandria database.

```
5
Lattice="-1.454 -1.220 2.929 0.251 -3.256 -1.232 3.163 -0.303 1.444" Properties=species:S:1:pos:R:3 pbc="T T T"
H 0.125 -1.628 -0.616
H 1.582 -0.151 0.722
H -0.727 -0.610 1.465
P 0.000 0.000 0.000
S 0.980 -2.390 1.570
```

Computed properties:
D(E_F) (states/eV/cell): 2.83
Size of the total moment (μB per atom): 0.125
Energy above the lowest structure with this stoichiometry (meV per atom): 892

First-principles (PBE-GGA) data for an optimized crystal structure of PHS2, as listed in the Alexandria database.

```
4
Lattice="-2.615 -1.643 2.802 -4.120 0.252 -0.594 -2.184 -3.425 -0.944" Properties=species:S:1:pos:R:3 pbc="T T T"
S -2.230 -1.204 0.316
S -6.689 -3.612 0.948
P -4.459 -2.408 0.632
H 0.000 0.000 0.000
```

Computed properties:
D(E_F) (states/eV/cell): 1.17
Size of the total moment (μB per atom): 0.000
Energy above the lowest structure with this stoichiometry (meV per atom): 1091

First-principles (PBE-GGA) data for an optimized crystal structure of P3H12S, as listed in the Alexandria database.

```
32
Lattice="0.823 -6.802 4.296 3.900 -6.336 -3.169 7.396 -2.068 2.919" Properties=species:S:1:pos:R:3 pbc="T T T"
H 10.454 -11.540 2.109
H 6.463 -3.289 1.432
H 0.660 -4.555 2.778
H 7.275 -13.365 1.974
H 2.873 -6.353 -0.654
H 6.922 -11.575 1.155
H 9.185 -9.803 3.433
H 5.098 -8.585 0.385
H 8.478 -7.850 3.195
H 7.573 -6.144 3.714
H 4.779 -5.526 3.215
H 4.076 -7.117 1.390
H 3.355 -4.094 2.607
H 4.406 -8.933 2.285
H 6.344 -8.368 6.320
H 1.336 -2.173 -0.934
H 9.506 -9.512 0.124
H 6.448 -9.920 3.387
H 6.273 -11.974 3.004
H 9.645 -12.072 4.442
H 3.307 -2.172 0.969
H 7.097 -7.307 -0.470
H 8.428 -6.315 1.914
H 4.442 -4.339 0.340
S 5.294 -7.907 1.689
S 6.630 -2.372 2.585
P 0.531 -3.353 2.016
P 8.000 -10.743 0.620
P 2.035 -3.294 -1.480
P 8.472 -14.013 2.511
P 6.611 -11.122 4.144
P 2.337 -6.421 0.669
```

Computed properties:
D(E_F) (states/eV/cell): 7.92
Size of the total moment (μB per atom): 0.000

Number 1: total DFT energy (no corrections) -7.081 eV/atom. Number 2: total DFT energy (no corrections) -3.113 eV/atom. Number 3: total DFT energy (no corrections) -3.315 eV/atom. Number 4: total DFT energy (no corrections) -3.681 eV/atom.